The following is a PBE calculation of crystalline AcAuS at its relaxed geometry, from Alexandria.

Cell lengths 4.0244, 4.0244, 9.5525 Å; angles 90.00, 90.00, 90.00 degrees
Space group I4mm (No. 107)
Symmetry-distinct sites (fractional):
1 Ac 0.0000 0.0000 0.0000 x2
2 Au 0.0000 0.0000 0.6705 x2
3 S 0.0000 0.0000 0.3528 x2

Properties
* magnetic moment: 0.00 μB per formula unit
* ΔE to the lowest computed polymorph: 73.7 meV/atom
* formation energy from raw total energies: -1.17 eV per atom



The following is a PBE calculation of crystalline Ac2Au2S5 at its relaxed geometry, from Alexandria.

Cell lengths 14.9674, 4.7228, 10.7822 Å; angles 90.00, 132.47, 90.00 degrees
Space group C2/m (No. 12)
Symmetry-distinct sites (fractional):
1 Ac 0.1475 0.0000 0.2708 x4
2 Au 0.1897 0.5000 0.0467 x4
3 S 0.0000 0.5000 0.0000 x2
4 S 0.1454 0.0000 0.9630 x4
5 S 0.1972 0.0000 0.5797 x4

Properties
* magnetic moment: 0.00 μB per formula unit
* formation energy from raw total energies: -1.04 eV per atom



The following is a PBE calculation of crystalline Ac3AuS6 at its relaxed geometry, from Alexandria.

Cell lengths 11.5060, 14.0629, 7.0192 Å; angles 90.00, 90.00, 90.00 degrees
Space group Cmc2_1 (No. 36)
Symmetry-distinct sites (fractional):
1 Ac 0.0000 0.1053 0.0000 x4
2 Ac 0.1913 0.3911 0.0756 x8
3 Au 0.0000 0.3592 0.5666 x4
4 S 0.0000 0.2757 0.2636 x4
5 S 0.0000 0.4854 0.8225 x4
6 S 0.1452 0.2521 0.7553 x8
7 S 0.1599 0.0194 0.2900 x8

Properties
* magnetic moment: 0.97 μB per formula unit
* formation energy from raw total energies: -1.50 eV per atom



The following is a PBE calculation of crystalline Ac4AuSe2S at its relaxed geometry, from Alexandria.

Cell lengths 7.7957, 4.3802, 7.8568 Å; angles 90.00, 109.08, 90.00 degrees
Space group P2/m (No. 10)
Symmetry-distinct sites (fractional):
1 Ac 0.2411 0.0000 0.2428 x2
2 Ac 0.2521 0.5000 0.7585 x2
3 Au 0.5000 0.0000 0.0000 x1
4 Se 0.0000 0.0000 0.5000 x1
5 Se 0.5000 0.5000 0.5000 x1
6 S 0.0000 0.5000 0.0000 x1

Properties
* magnetic moment: 0.00 μB per formula unit
* formation energy from raw total energies: -1.61 eV per atom



The following is a PBE calculation of crystalline Ac6AuSe2S3 at its relaxed geometry, from Alexandria.

Cell lengths 7.6759, 13.2714, 7.6083 Å; angles 90.00, 109.61, 90.00 degrees
Space group C2/m (No. 12)
Symmetry-distinct sites (fractional):
1 Ac 0.2451 0.0000 0.2372 x4
2 Ac 0.2470 0.3333 0.2395 x8
3 Au 0.0000 0.0000 0.5000 x2
4 Se 0.0000 0.3344 0.5000 x4
5 S 0.0000 0.1691 0.0000 x4
6 S 0.0000 0.5000 0.0000 x2

Properties
* magnetic moment: 0.00 μB per formula unit
* formation energy from raw total energies: -1.74 eV per atom



The following is a PBE calculation of crystalline AcSnAuS at its relaxed geometry, from Alexandria.

Cell lengths 4.7459, 4.7459, 35.9446 Å; angles 90.00, 90.00, 120.00 degrees
Space group R-3m (No. 166, hexagonal axes)
Symmetry-distinct sites (fractional):
1 Ac 0.0000 0.0000 0.1114 x6
2 Sn 0.0000 0.0000 0.3003 x6
3 Au 0.0000 0.0000 0.3807 x6
4 S 0.0000 0.0000 0.1963 x6

Properties
* magnetic moment: 0.00 μB per formula unit
* formation energy from raw total energies: -1.11 eV per atom



The following is a PBE calculation of crystalline Ac4TeAuS2 at its relaxed geometry, from Alexandria.

Cell lengths 7.8577, 4.3902, 7.8611 Å; angles 90.00, 108.50, 90.00 degrees
Space group P2/m (No. 10)
Symmetry-distinct sites (fractional):
1 Ac 0.2348 0.0000 0.2240 x2
2 Ac 0.2449 0.5000 0.7626 x2
3 Te 0.5000 0.5000 0.5000 x1
4 Au 0.0000 0.0000 0.5000 x1
5 S 0.0000 0.5000 0.0000 x1
6 S 0.5000 0.0000 0.0000 x1

Properties
* magnetic moment: 0.00 μB per formula unit
* formation energy from raw total energies: -1.52 eV per atom



The following is a PBE calculation of crystalline Ac6Te3AuS2 at its relaxed geometry, from Alexandria.

Cell lengths 7.8438, 13.5596, 8.1149 Å; angles 90.00, 108.78, 90.00 degrees
Space group C2/m (No. 12)
Symmetry-distinct sites (fractional):
1 Ac 0.2355 0.0000 0.2225 x4
2 Ac 0.2432 0.3312 0.2237 x8
3 Te 0.0000 0.0000 0.5000 x2
4 Te 0.0000 0.3335 0.5000 x4
5 Au 0.0000 0.5000 0.0000 x2
6 S 0.0000 0.1665 0.0000 x4

Properties
* magnetic moment: 0.00 μB per formula unit
* formation energy from raw total energies: -1.54 eV per atom



The following is a PBE calculation of crystalline AcTlAuS2 at its relaxed geometry, from Alexandria.

Cell lengths 4.8651, 6.2694, 9.2709 Å; angles 90.00, 110.71, 90.00 degrees
Space group P2/c (No. 13)
Symmetry-distinct sites (fractional):
1 Ac 0.0000 0.0667 0.2500 x2
2 Tl 0.5000 0.3456 0.7500 x2
3 Au 0.0000 0.5000 0.0000 x2
4 S 0.3199 0.1958 0.0395 x4

Properties
* magnetic moment: 0.00 μB per formula unit
* formation energy from raw total energies: -0.92 eV per atom



The following is a PBE calculation of crystalline Ac2TlAuS4 at its relaxed geometry, from Alexandria.

Cell lengths 4.3291, 14.4818, 14.8628 Å; angles 90.00, 90.00, 90.00 degrees
Space group Cmcm (No. 63)
Symmetry-distinct sites (fractional):
1 Ac 0.0000 0.1324 0.0651 x8
2 Tl 0.0000 0.3852 0.2500 x4
3 Au 0.0000 0.3437 0.7500 x4
4 S 0.0000 0.0584 0.2500 x4
5 S 0.0000 0.2354 0.6108 x8
6 S 0.0000 0.5000 0.0000 x4

Properties
* magnetic moment: 0.00 μB per formula unit
* formation energy from raw total energies: -1.40 eV per atom



The following is a PBE calculation of crystalline AcSb4Au at its relaxed geometry, from Alexandria.

Cell lengths 8.8949, 8.8949, 8.8949 Å; angles 90.00, 90.00, 90.00 degrees
Space group F-43m (No. 216)
Symmetry-distinct sites (fractional):
1 Ac 0.0000 0.0000 0.0000 x4
2 Sb 0.1220 0.1220 0.3780 x16
3 Au 0.2500 0.2500 0.7500 x4

Properties
* magnetic moment: 0.00 μB per formula unit
* formation energy from raw total energies: -0.14 eV per atom



The following is a PBE calculation of crystalline Ac2SbAu8 at its relaxed geometry, from Alexandria.

Cell lengths 16.1610, 6.5164, 5.0157 Å; angles 90.00, 101.90, 90.00 degrees
Space group C2/m (No. 12)
Symmetry-distinct sites (fractional):
1 Ac 0.1267 0.0000 0.1022 x4
2 Sb 0.0000 0.5000 0.0000 x2
3 Au 0.0000 0.2233 0.5000 x4
4 Au 0.1798 0.2815 0.6420 x8
5 Au 0.1840 0.5000 0.1414 x4

Properties
* magnetic moment: 0.00 μB per formula unit
* formation energy from raw total energies: -0.50 eV per atom